Density functional theory data (SCAN) for a crystal of Hf3MnPt relaxed with PBEsol.

DFT total energy: -55.06 eV/atom
crystal system: cubic
size of the total moment: 0.904 μB per atom
calculated formation energy: 23 kJ per mole of atoms

Lattice parameters (Å, degrees): 4.983 4.983 4.983 90.00 90.00 90.00
Fractional coordinates of all 5 atoms:
1 Hf 0.000 0.000 0.500
2 Hf 0.000 0.500 0.000
3 Hf 0.500 0.000 0.000
4 Mn 0.500 0.500 0.500
5 Pt 0.000 0.000 0.000